Computed, not measured: a relaxed structure of TbMgS2 at the PBE level of DFT.

Its crystal system is tetragonal. Its calculated total energy is -5.205 eV per atom.

a = 3.848 Å, b = 3.848 Å, c = 5.483 Å
α = 90.00°, β = 90.00°, γ = 90.00°
Atoms (fractional coordinates):
Mg1 0.000 0.000 0.000
S1 0.500 0.500 0.000
S2 0.000 0.000 0.500
Tb1 0.500 0.500 0.500